Entry P
Yb3V | PBE | optimized geometry

Results
SG: I4/mmm, No. 139

Unit cell a=5.8277 b=5.8277 c=5.8277 alpha=129.99 beta=129.99 gamma=73.43
Last column: nearest neighbours and their distance in Å.
Positions (direct):
Yb 0.7500 0.2500 0.5000  4 V 3.39, 8 Yb 3.39-3.48
Yb 0.2500 0.7500 0.5000  8 Yb 3.39-3.48, 4 V 3.39
Yb 0.5000 0.5000 0.0000  8 Yb 3.39, 4 V 3.48
V 0.0000 0.0000 0.0000  12 Yb 3.39-3.48



Entry Q
Yb3V | PBE | optimized geometry

Results
SG: Pm-3m, No. 221

Unit cell a=4.8458 b=4.8458 c=4.8458 alpha=90.00 beta=90.00 gamma=90.00
Last column: nearest neighbours and their distance in Å.
Positions (direct):
Yb 0.0000 0.5000 0.5000  8 Yb 3.43, 4 V 3.43
Yb 0.5000 0.0000 0.5000  8 Yb 3.43, 4 V 3.43
Yb 0.5000 0.5000 0.0000  8 Yb 3.43, 4 V 3.43
V 0.0000 0.0000 0.0000  12 Yb 3.43



Stability, highest: entry P



Entry P
V5Zn | PBE | optimized geometry

Results
SG: P-6m2, No. 187

Unit cell a=2.6240 b=2.6240 c=13.9729 alpha=90.00 beta=90.00 gamma=120.00
Last column: nearest neighbours and their distance in Å.
Positions (direct):
V 0.6667 0.3333 0.8340  9 V 2.62-2.78, 3 Zn 2.77
V 0.0000 0.0000 0.6670  12 V 2.62-2.78
V 0.6667 0.3333 0.5000  12 V 2.62-2.78
V 0.0000 0.0000 0.3330  12 V 2.62-2.78
V 0.6667 0.3333 0.1660  9 V 2.62-2.78, 3 Zn 2.77
Zn 0.0000 0.0000 0.0000  6 Zn 2.62, 6 V 2.77



Entry Q
V5Zn | PBE | optimized geometry

Results
SG: Cmmm, No. 65

Unit cell a=3.0719 b=4.3105 c=6.5056 alpha=109.35 beta=90.00 gamma=90.00
Last column: nearest neighbours and their distance in Å.
Positions (direct):
Zn 0.0000 0.0000 0.0000  12 V 2.65-2.94
V 0.0000 0.6631 0.3262  8 V 2.49-2.65
V 0.0000 0.3369 0.6738  8 V 2.49-2.65
V 0.5000 0.5000 0.0000  4 V 2.52, 4 Zn 2.65
V 0.5000 0.1769 0.3539  6 V 2.49-2.65, 2 Zn 2.66
V 0.5000 0.8231 0.6461  6 V 2.49-2.65, 2 Zn 2.66



Stability, highest: entry Q



Entry P
V4Zn | PBE | optimized geometry

Results
SG: I4/mmm, No. 139

Unit cell a=3.0556 b=3.0539 c=7.6149 alpha=101.57 beta=101.57 gamma=90.00
Last column: nearest neighbours and their distance in Å.
Positions (direct):
V 0.6038 0.6038 0.2076  5 V 2.58-2.86, 4 Zn 2.64
V 0.2006 0.2006 0.4012  9 V 2.58-2.86
V 0.7994 0.7994 0.5988  9 V 2.58-2.86
V 0.3962 0.3962 0.7924  5 V 2.58-2.86, 4 Zn 2.64
Zn 0.0000 0.0000 0.0000  10 V 2.64-2.93



Entry Q
V4Zn | PBE | optimized geometry

Results
SG: Pm-3m, No. 221

Unit cell a=4.4515 b=4.4515 c=4.4515 alpha=90.00 beta=90.00 gamma=90.00
Last column: nearest neighbours and their distance in Å.
Positions (direct):
Zn 0.5000 0.5000 0.5000  6 V 2.23
V 0.0000 0.0000 0.0000  12 V 3.15
V 0.5000 0.0000 0.5000  2 Zn 2.23
V 0.0000 0.5000 0.5000  2 Zn 2.23
V 0.5000 0.5000 0.0000  2 Zn 2.23



Stability, highest: entry P